# 1
Below is Pm2NdEr2 after structural relaxation, with properties calculated at the PBE-GGA level.

Cell lengths 9.3801, 9.3801, 3.8101 Å; angles 90.00, 90.00, 90.00 degrees
Last column: nearest neighbours and their distance in Å.
Space group P4/mbm (No. 127)
Asymmetric unit:
Pm: 0.1284 0.3716 0.0000  6 Er 3.29-3.40, 1 Pm 3.41
Nd: 0.0000 0.0000 0.0000  4 Pm 3.69, 2 Nd 3.81, 8 Er 3.97
Er: 0.1692 0.6692 0.5000  6 Pm 3.29-3.40

Results
**Energy above the most stable polymorph in this dataset**: 5.8 kJ per mole of atoms
**Fermi-level density of states**: 5.20 states/eV/f.u.



# 2
Below is Pm6Nd3Er2 after structural relaxation, with properties calculated at the PBE-GGA level.

Cell lengths 3.6309, 3.6309, 97.8526 Å; angles 90.00, 90.00, 120.00 degrees
Last column: nearest neighbours and their distance in Å.
Space group R-3m (No. 166, hexagonal axes)
Asymmetric unit:
Pm: 0.0000 0.0000 0.0923  3 Er 3.57, 6 Pm 3.63, 3 Nd 3.68
Pm: 0.0000 0.0000 0.1820  3 Er 3.57, 9 Pm 3.63-3.66
Pm: 0.0000 0.0000 0.3641  6 Pm 3.63, 6 Nd 3.66-3.67
Nd: 0.0000 0.0000 0.0000  6 Nd 3.63, 6 Pm 3.67
Nd: 0.0000 0.0000 0.2719  6 Nd 3.63, 6 Pm 3.66-3.68
Er: 0.0000 0.0000 0.4551  6 Pm 3.57, 6 Er 3.63

Results
**Energy above the most stable polymorph in this dataset**: 0.0 kJ per mole of atoms
**Fermi-level density of states**: 14.39 states/eV/f.u.



# 3
Below is Pm3NdEr4 after structural relaxation, with properties calculated at the PBE-GGA level.

Cell lengths 11.4713, 7.2980, 6.2836 Å; angles 90.00, 90.00, 90.00 degrees
Last column: nearest neighbours and their distance in Å.
Space group Pmn2_1 (No. 31)
Asymmetric unit:
Pm: 0.0000 0.1280 0.0000  6 Er 3.56-3.70, 4 Pm 3.56-3.58, 2 Nd 3.65
Pm: 0.2501 0.1282 0.3356  6 Er 3.56-3.70, 2 Nd 3.56-3.57, 4 Pm 3.56-3.66
Nd: 0.0000 0.8724 0.5000  6 Pm 3.56-3.65, 6 Er 3.56-3.70
Er: 0.0000 0.3790 0.5015  6 Er 3.53-3.60, 4 Pm 3.56-3.65, 2 Nd 3.60-3.70
Er: 0.0000 0.6208 0.0013  6 Er 3.52-3.60, 4 Pm 3.56-3.70, 2 Nd 3.63-3.65
Er: 0.2497 0.3789 0.8345  6 Er 3.52-3.60, 5 Pm 3.56-3.70, 1 Nd 3.56

Results
**Energy above the most stable polymorph in this dataset**: 0.6 kJ per mole of atoms
**Fermi-level density of states**: 14.80 states/eV/f.u.



# 4
Below is Pm3NdEr8 after structural relaxation, with properties calculated at the PBE-GGA level.

Cell lengths 6.4009, 11.3125, 11.3989 Å; angles 90.00, 90.00, 90.00 degrees
Last column: nearest neighbours and their distance in Å.
Space group Immm (No. 71)
Asymmetric unit:
Pm: 0.0000 0.0000 0.0000  8 Er 3.24-3.44
Pm: 0.0000 0.5000 0.2510  6 Er 3.72-3.74
Nd: 0.0000 0.0000 0.5000  8 Er 3.26-3.45
Er: 0.0000 0.1709 0.2499  6 Er 3.39-3.67, 4 Pm 3.44-3.74, 1 Nd 3.45
Er: 0.2503 0.2492 0.0000  6 Er 3.20-3.39, 1 Pm 3.24, 1 Nd 3.26

Results
**Fermi-level density of states**: 15.96 states/eV/f.u.



# 5
Below is PmNd12Er7 after structural relaxation, with properties calculated at the PBE-GGA level.

Cell lengths 15.2477, 15.2477, 10.1414 Å; angles 90.00, 90.00, 120.00 degrees
Last column: nearest neighbours and their distance in Å.
Space group R-3 (No. 148, hexagonal axes)
Asymmetric unit:
Pm: 0.0000 0.0000 0.0000  6 Er 3.44, 6 Nd 3.77
Nd: 0.0442 0.8440 0.2517  5 Er 3.36-3.75, 3 Nd 3.37-3.71
Nd: 0.0469 0.7986 0.5768  4 Nd 3.37-3.77, 4 Er 3.38-3.57
Er: 0.0000 0.0000 0.5000  12 Nd 3.57-3.75
Er: 0.0661 0.8208 0.9253  7 Nd 3.36-3.70, 1 Pm 3.44, 3 Er 3.44-3.68

Results
**Energy above the most stable polymorph in this dataset**: 0.0 kJ per mole of atoms
**Fermi-level density of states**: 34.63 states/eV/f.u.



# 6
Below is Pm6Nd3Er after structural relaxation, with properties calculated at the PBE-GGA level.

Cell lengths 11.0015, 19.3230, 6.4964 Å; angles 90.00, 90.00, 90.00 degrees
Last column: nearest neighbours and their distance in Å.
Space group Cmc2_1 (No. 36)
Asymmetric unit:
Pm: 0.0000 0.0352 0.0000  1 Er 3.44, 4 Pm 3.52-3.84, 4 Nd 3.55-3.59
Pm: 0.0000 0.2758 0.2129  4 Pm 3.18-3.50, 1 Er 3.43, 1 Nd 3.49
Pm: 0.1704 0.4571 0.3076  3 Nd 3.45-3.57, 5 Pm 3.51-3.84
Pm: 0.2332 0.2910 0.4974  3 Pm 3.18-3.51, 2 Nd 3.34-3.50, 1 Er 3.37
Nd: 0.0000 0.3855 0.7858  7 Pm 3.49-3.88, 2 Nd 3.66, 1 Er 3.75
Nd: 0.1742 0.1161 0.4007  1 Er 3.30, 6 Pm 3.34-3.59, 1 Nd 3.66
Er: 0.0000 0.1918 0.7486  2 Nd 3.30, 6 Pm 3.37-3.60

Results
**Energy above the most stable polymorph in this dataset**: 0.0 kJ per mole of atoms
**Fermi-level density of states**: 12.88 states/eV/f.u.



E values, unit eV per atom, following the record order: -4.595, -4.706, -4.634, -4.330, -4.545, -4.600.
Calculated density values, unit g cm⁻³, following the record order: 7.62, 7.30, 7.88, 7.71, 7.43, 7.07.